Compound: LiH8Rh4
Source: the Alexandria database
Functional: PBE-GGA
Structure: relaxed

Output
- symmetry = P-1
- E_tot (eV per atom) = -4.58
- spin magnetization (μB/f.u.) = 0.00
- density (g/cm³) = 5.9

Cell lengths 4.8072, 4.8173, 5.5589 Å; angles 107.20, 90.02, 100.10 degrees
Positions (direct):
Li  0.0000  0.0000  0.0000
H  0.1166  0.6942  0.6709
H  0.1240  0.6963  0.1777
H  0.3776  0.2991  0.5721
H  0.3856  0.3039  0.0756
H  0.6144  0.6961  0.9244
H  0.6224  0.7009  0.4279
H  0.8760  0.3037  0.8223
H  0.8834  0.3058  0.3291
Rh  0.2485  0.4980  0.8736
Rh  0.2518  0.4962  0.3744
Rh  0.7482  0.5038  0.6256
Rh  0.7515  0.5020  0.1264